1.
Entry from the Alexandria database: crystalline Cs2GaGeTe4 at its relaxed geometry (PBE-GGA).

Output
Calculated total energy in eV/atom: -3.34
Formation energy (no corrections) in eV per formula unit: -4.81
DOS(E_F) in states/eV per cell: 10.4
Space group: Fddd, No. 70

Cell lengths 6.804, 8.505, 13.759 Å; angles 84.32, 75.68, 66.42 degrees
Fractional positions:
Te  0.280  0.810  0.113
Te  0.840  0.690  0.613
Te  0.202  0.190  0.887
Te  0.608  0.190  0.113
Te  0.470  0.690  0.387
Te  0.910  0.810  0.887
Te  0.548  0.310  0.613
Te  0.142  0.310  0.387
Cs  0.567  0.500  0.867
Cs  0.183  0.000  0.633
Cs  0.933  0.500  0.133
Cs  0.817  0.000  0.367
Ge  0.250  0.500  0.500
Ge  0.500  0.000  0.000
Ga  0.000  0.000  0.000
Ga  0.750  0.500  0.500

***

2.
Entry from the Alexandria database: crystalline CsTe2PN at its relaxed geometry (PBE-GGA).

Output
Calculated total energy in eV/atom: -2.04
Formation energy (no corrections) in eV per formula unit: 10.69
Offset from the most stable computed form in eV per atom: 1.917
DOS(E_F) in states/eV per cell: 7.5
Space group: P4/mmm, No. 123

Cell lengths 6.917, 6.917, 4.653 Å; angles 90.00, 90.00, 90.00 degrees
Last column: magnetic moment on the atom in μB.
Fractional positions:
P  0.500  0.500  0.500  0.96
N  0.000  0.000  0.500  0.83
Cs  0.000  0.000  0.000  -0.05
Te  0.500  0.000  0.000  -0.64
Te  0.000  0.500  0.000  -0.64

***

3.
Entry from the Alexandria database: crystalline Pm2Si3AsPt4 at its relaxed geometry (PBE-GGA).

Output
Calculated total energy in eV/atom: -6.49
Formation energy (no corrections) in eV per formula unit: -10.34
DOS(E_F) in states/eV per cell: 6.0
Space group: P-4m2, No. 115

Cell lengths 4.329, 4.329, 9.796 Å; angles 90.00, 90.00, 90.00 degrees
Fractional positions:
As  0.500  0.500  0.500
Si  0.000  0.500  0.127
Si  0.000  0.000  0.500
Si  0.500  0.000  0.873
Pt  0.000  0.000  0.000
Pt  0.000  0.500  0.372
Pt  0.500  0.000  0.628
Pt  0.500  0.500  0.000
Pm  0.500  0.000  0.251
Pm  0.000  0.500  0.749

***

4.
Entry from the Alexandria database: crystalline MgCoAsSe2 at its relaxed geometry (PBE-GGA).

Output
Calculated total energy in eV/atom: -4.00
Formation energy (no corrections) in eV per formula unit: 0.32
Offset from the most stable computed form in eV per atom: 0.000
DOS(E_F) in states/eV per cell: 4.0
Space group: P4/mmm, No. 123

Cell lengths 4.989, 4.989, 4.265 Å; angles 90.00, 90.00, 90.00 degrees
Fractional positions:
Mg  0.500  0.500  0.500
Se  0.500  0.000  0.000
Se  0.000  0.500  0.000
Co  0.000  0.000  0.000
As  0.000  0.000  0.500